No. 1
## GaCoNiSn (PBE-GGA)

Data for an optimized crystal structure of GaCoNiSn.

abc: 4.3026 4.3026 4.3026
angles: 60.00 60.00 60.00
Last column: nearest neighbours and their distance in Å.
Fractional coordinates of all 4 atoms:
Ga1 0.7500 0.7500 0.7500  4 Ni 2.63, 4 Co 2.63
Sn1 0.2500 0.2500 0.2500  4 Ni 2.63, 4 Co 2.63
Co1 0.0000 0.0000 0.0000  4 Ga 2.63, 4 Sn 2.63
Ni1 0.5000 0.5000 0.5000  4 Ga 2.63, 4 Sn 2.63

Output
ΔH_f (0 K), eV per atom: -0.078
SG: F-43m, No. 216

No. 2
## NdSm2Er4 (PBE-GGA)

Data for an optimized crystal structure of NdSm2Er4.

abc: 3.5357 8.7639 8.5534
angles: 119.09 101.93 90.01
Last column: nearest neighbours and their distance in Å.
Fractional coordinates of all 7 atoms:
Sm1 0.0686 0.4283 0.1384  1 Sm 3.14, 1 Er 3.30, 1 Nd 3.33
Er1 0.3545 0.1586 0.7078  7 Er 3.54-3.68, 4 Sm 3.64, 2 Nd 3.80
Er2 0.2935 0.7063 0.5866  3 Sm 3.30-3.54, 7 Er 3.54-3.68, 2 Nd 3.59
Sm2 0.9314 0.5717 0.8616  1 Sm 3.14, 1 Er 3.30, 1 Nd 3.33
Nd1 0.0000 0.0000 0.0000  2 Sm 3.33, 2 Nd 3.54, 4 Er 3.59
Er3 0.7065 0.2937 0.4134  3 Sm 3.30-3.54, 7 Er 3.54-3.68, 2 Nd 3.59
Er4 0.6455 0.8414 0.2922  7 Er 3.54-3.68, 4 Sm 3.64, 2 Nd 3.80

Output
Energy relative to the lowest polymorph listed for this composition, meV per atom: 0
ΔH_f (0 K), eV per atom: 0.041
SG: C2/m, No. 12

No. 3
## Al2IrRu (PBE-GGA)

Data for an optimized crystal structure of Al2IrRu.

abc: 3.1528 3.1528 5.7424
angles: 90.00 90.00 90.00
Last column: nearest neighbours and their distance in Å.
Fractional coordinates of all 4 atoms:
Al1 0.5000 0.5000 0.2569  4 Ir 2.53, 1 Ru 2.67, 4 Al 2.72
Al2 0.0000 0.0000 0.9861  4 Ru 2.49, 4 Al 2.72, 1 Ir 2.75
Ru1 0.5000 0.5000 0.7926  5 Al 2.49-2.67
Ir1 0.0000 0.0000 0.4644  5 Al 2.53-2.75

Output
ΔH_f (0 K), eV per atom: -0.464
SG: P4mm, No. 99

No. 4
## Nd6NiHg (PBE-GGA)

Data for an optimized crystal structure of Nd6NiHg.

abc: 6.6924 7.3787 6.7852
angles: 57.06 78.85 69.18
Last column: nearest neighbours and their distance in Å.
Fractional coordinates of all 8 atoms:
Nd1 0.7124 0.7417 0.0000  1 Ni 2.65
Nd2 0.7425 0.1090 0.3835  1 Ni 2.81
Nd3 0.2876 0.2583 0.0000  1 Ni 2.65
Ni1 0.5000 0.5000 0.0000  6 Nd 2.65-2.81
Nd4 0.2575 0.8910 0.6165  1 Ni 2.81
Nd5 0.7425 0.4925 0.6165  1 Ni 2.81
Hg1 0.0000 0.0000 0.0000  6 Nd 3.15
Nd6 0.2575 0.5075 0.3835  1 Ni 2.81

Output
ΔH_f (0 K), eV per atom: -0.012
SG: C2/m, No. 12

No. 5
## ZrPd2Pt (PBE-GGA)

Data for an optimized crystal structure of ZrPd2Pt.

abc: 4.5684 4.5684 4.5684
angles: 60.00 60.00 60.00
Last column: nearest neighbours and their distance in Å.
Fractional coordinates of all 4 atoms:
Pt1 0.5000 0.5000 0.5000  8 Pd 2.80
Pd1 0.7500 0.7500 0.7500  4 Pt 2.80, 4 Zr 2.80
Zr1 0.0000 0.0000 0.0000  8 Pd 2.80
Pd2 0.2500 0.2500 0.2500  4 Pt 2.80, 4 Zr 2.80

Output
ΔH_f (0 K), eV per atom: -0.648
SG: Fm-3m, No. 225

No. 6
## Ba2HfTlMo (PBE-GGA)

Data for an optimized crystal structure of Ba2HfTlMo.

abc: 6.5071 5.4858 6.5071
angles: 90.00 90.00 90.00
Last column: nearest neighbours and their distance in Å.
Fractional coordinates of all 5 atoms:
Ba1 0.0000 0.0000 0.5000  2 Tl 3.25
Hf1 0.0000 0.5000 0.0000  2 Tl 2.74
Mo1 0.5000 0.5000 0.5000  8 Ba 4.26, 4 Hf 4.60
Ba2 0.5000 0.0000 0.0000  2 Tl 3.25
Tl1 0.0000 0.0000 0.0000  2 Hf 2.74

Output
ΔH_f (0 K), eV per atom: 1.408
SG: P4/mmm, No. 123

No. 7
## ZrInPdPb2 (PBE-GGA)

Data for an optimized crystal structure of ZrInPdPb2.

abc: 5.5875 5.5665 5.5875
angles: 90.00 90.00 90.00
Last column: nearest neighbours and their distance in Å.
Fractional coordinates of all 5 atoms:
Pd1 0.5000 0.5000 0.5000  8 Pb 3.94, 4 In 3.95
Pb1 0.0000 0.0000 0.5000  2 Zr 2.79
Pb2 0.5000 0.0000 0.0000  2 Zr 2.79
Zr1 0.0000 0.0000 0.0000  2 In 2.78, 4 Pb 2.79
In1 0.0000 0.5000 0.0000  2 Zr 2.78

Output
ΔH_f (0 K), eV per atom: 0.743
SG: P4/mmm, No. 123

No. 8
## AsIrAu2 (PBE-GGA)

Data for an optimized crystal structure of AsIrAu2.

abc: 5.4937 5.4937 4.6293
angles: 76.03 76.03 32.92
Last column: nearest neighbours and their distance in Å.
Fractional coordinates of all 4 atoms:
As1 0.1966 0.1966 0.2822  2 Ir 2.42
Au1 0.9898 0.9898 0.0204  1 As 2.75, 4 Ir 2.78-2.85, 1 Au 2.92
Au2 0.7885 0.7885 0.6874  4 As 2.79-3.10, 3 Ir 2.88-3.09, 3 Au 2.92-3.11
Ir1 0.5251 0.5251 0.5100  2 As 2.42

Output
ΔH_f (0 K), eV per atom: 0.199
SG: Cm, No. 8

- The highest ΔH_f (0 K) belongs to which entry?
  Ba2HfTlMo

- Which value of ΔH_f (0 K) does entry 4 give?
  -0.012 eV per atom

- The lowest ΔH_f (0 K) belongs to which entry?
  ZrPd2Pt

- Number 4 is which compound?
  Nd6NiHg